A plane-wave DFT calculation with PBE was carried out for a relaxed structure of PaTcP.

The value obtained for the electronic total energy is -8.626 eV/atom. For the energy of formation, the calculation gives -19.5 kJ/mol of atoms.

The space group is F-43m (No. 216) and the conventional cell measures 6.197, 6.197 and 6.197 Å, with angles of 90.00, 90.00 and 90.00 degrees. The asymmetric unit holds Pa at (0.000, 0.000, 0.000), Tc at (0.000, 0.000, 0.500) and P at (0.250, 0.250, 0.750).